No. 1
# Tm2AlAg GGA-PBE relaxed
data_Tm2AlAg
_chemical_formula_sum 'Tm6 Al3 Ag3'
_symmetry_space_group_name_H-M 'R -3 m'
_symmetry_Int_Tables_number 166
_symmetry_space_group_name_Hall '-R 3 2"'
_cell_length_a 3.5038
_cell_length_b 3.5038
_cell_length_c 27.5854
_cell_angle_alpha 90.00
_cell_angle_beta 90.00
_cell_angle_gamma 120.00
loop_
_atom_site_label
_atom_site_type_symbol
_atom_site_fract_x
_atom_site_fract_y
_atom_site_fract_z
_atom_site_occupancy
Tm1 Tm 0.0000 0.0000 0.2482 1
Al1 Al 0.0000 0.0000 0.5000 1
Ag1 Ag 0.0000 0.0000 0.0000 1
# **Crystal system**: trigonal
# **ΔE_f**: -0.129 eV per atom
# **Electronic total energy**: -4.01 eV/atom
# **Size of the total moment**: 0.0 μB per cell

---

No. 2
# CsTiTlF6 GGA-PBE relaxed
data_CsTiTlF6
_chemical_formula_sum 'Cs2 Ti2 Tl2 F12'
_symmetry_space_group_name_H-M 'C 1 2 1'
_symmetry_Int_Tables_number 5
_symmetry_space_group_name_Hall 'C 2y'
_cell_length_a 6.5183
_cell_length_b 11.3610
_cell_length_c 5.5512
_cell_angle_alpha 90.00
_cell_angle_beta 90.11
_cell_angle_gamma 90.00
loop_
_atom_site_label
_atom_site_type_symbol
_atom_site_fract_x
_atom_site_fract_y
_atom_site_fract_z
_atom_site_occupancy
Cs1 Cs 0.0000 0.0000 0.0000 1
Ti1 Ti 0.0000 0.6665 0.5000 1
Tl1 Tl 0.0000 0.3339 0.5000 1
F1 F 0.1184 0.5474 0.3044 1
F2 F 0.1187 0.7859 0.3047 1
F3 F 0.2417 0.6662 0.6921 1
# **Crystal system**: monoclinic
# **Electronic total energy**: -5.50 eV/atom
# **ΔE_f (raw)**: -3.015 eV/atom
# **Size of the total moment**: 0.0 μB per cell

---

No. 3
# Tm3Al4Ga4 GGA-PBE relaxed
data_Tm3Al4Ga4
_chemical_formula_sum 'Tm6 Al8 Ga8'
_symmetry_space_group_name_H-M 'I m m m'
_symmetry_Int_Tables_number 71
_symmetry_space_group_name_Hall '-I 2 2'
_cell_length_a 4.1738
_cell_length_b 7.1533
_cell_length_c 14.4679
_cell_angle_alpha 90.00
_cell_angle_beta 90.00
_cell_angle_gamma 90.00
loop_
_atom_site_label
_atom_site_type_symbol
_atom_site_fract_x
_atom_site_fract_y
_atom_site_fract_z
_atom_site_occupancy
Tm1 Tm 0.0000 0.0000 0.0000 1
Tm2 Tm 0.0000 0.5000 0.1239 1
Al1 Al 0.0000 0.3131 0.3388 1
Ga1 Ga 0.0000 0.0000 0.2224 1
Ga2 Ga 0.0000 0.1825 0.5000 1
# **Crystal system**: orthorhombic
# **ΔE_f**: -0.417 eV per atom
# **Electronic total energy**: -4.10 eV/atom
# **Size of the total moment**: 0.0 μB per cell